Record 1
VASP calculation (meta-GGA SCAN) on CaInBr4 at its PBEsol-relaxed geometry.

The space group is F-43m (No. 216) and the conventional cell measures 8.958, 8.958 and 8.958 Å, with angles of 90.00, 90.00 and 90.00 degrees. The distinct sites, in fractional coordinates, are Ca at (0.000, 0.000, 0.000), In at (0.250, 0.250, 0.250) and Br at (0.125, 0.125, 0.625).

The calculation puts the formation energy (no corrections) at -0.3569 eV/atom. As for the magnetization: 4.2 μB per cell.

Record 2
VASP calculation (meta-GGA SCAN) on CaInBr3 at its PBEsol-relaxed geometry.

The space group is Cmcm (No. 63) and the conventional cell measures 4.198, 13.793 and 10.701 Å, with angles of 90.00, 90.00 and 90.00 degrees. The distinct sites, in fractional coordinates, are Ca at (0.000, 0.000, 0.000), In at (0.000, 0.259, 0.250), Br at (0.000, 0.070, 0.750) and Br at (0.000, 0.362, 0.548).

The calculation puts the formation energy (no corrections) at -1.6348 eV/atom. As for the magnetization: 0.0 μB per cell.